1.
Below is a relaxed structure of SmMgZr2Ir4, with properties calculated at the PBE level.

a b c (Å): 4.6306 4.6306 23.8283
angles (deg): 90.00 90.00 120.00
Space group R-3m (No. 166, hexagonal axes)
Asymmetric unit:
Sm1 0.0000 0.0000 0.0000 (multiplicity 3)
Mg1 0.0000 0.0000 0.5000 (multiplicity 3)
Zr1 0.0000 0.0000 0.2427 (multiplicity 6)
Ir1 0.0000 0.0000 0.1265 (multiplicity 6)
Ir2 0.0000 0.0000 0.3851 (multiplicity 6)

- crystal system = trigonal
- calculated formation energy (eV per atom) = -0.66
- M_tot (μB per cell) = 0.0

2.
Below is a relaxed structure of Mg6SnIr, with properties calculated at the PBE level.

a b c (Å): 6.349 10.701 6.259
angles (deg): 90.00 118.01 90.00
Space group C2/m (No. 12)
Asymmetric unit:
Mg1 0.215 0.208 0.239 (multiplicity 8)
Mg2 0.235 0.000 0.769 (multiplicity 4)
Sn1 0.000 0.500 0.500 (multiplicity 2)
Ir1 0.000 0.000 0.000 (multiplicity 2)

- crystal system = monoclinic
- calculated formation energy (eV per atom) = 0.06
- M_tot (μB per cell) = 0.0

3.
Below is a relaxed structure of Mg2SnIr3, with properties calculated at the PBE level.

a b c (Å): 4.468 13.346 3.183
angles (deg): 90.00 90.00 90.00
Space group Cmmm (No. 65)
Asymmetric unit:
Mg1 0.000 0.170 0.000 (multiplicity 4)
Sn1 0.000 0.500 0.000 (multiplicity 2)
Ir1 0.000 0.000 0.500 (multiplicity 2)
Ir2 0.000 0.335 0.500 (multiplicity 4)

- crystal system = orthorhombic
- calculated formation energy (eV per atom) = -0.35
- M_tot (μB per cell) = 0.0

4.
Below is a relaxed structure of Mg8Sn2Ir, with properties calculated at the PBE level.

a b c (Å): 15.920 4.779 6.890
angles (deg): 90.00 115.08 90.00
Space group C2/m (No. 12)
Asymmetric unit:
Mg1 0.006 0.000 0.281 (multiplicity 4)
Mg2 0.125 0.500 0.898 (multiplicity 4)
Mg3 0.139 0.500 0.388 (multiplicity 4)
Mg4 0.176 0.000 0.695 (multiplicity 4)
Sn1 0.181 0.000 0.179 (multiplicity 4)
Ir1 0.000 0.500 0.500 (multiplicity 2)

- crystal system = monoclinic
- calculated formation energy (eV per atom) = -0.21
- M_tot (μB per cell) = 0.0

5.
Below is a relaxed structure of Mg2SnIr, with properties calculated at the PBE level.

a b c (Å): 2.9867 2.9867 31.9879
angles (deg): 90.00 90.00 120.00
Space group R-3m (No. 166, hexagonal axes)
Asymmetric unit:
Mg1 0.0000 0.0000 0.0788 (multiplicity 6)
Sn1 0.0000 0.0000 0.5000 (multiplicity 3)
Ir1 0.0000 0.0000 0.0000 (multiplicity 3)

- crystal system = trigonal
- calculated formation energy (eV per atom) = 0.36
- M_tot (μB per cell) = 0.1

6.
Below is a relaxed structure of Mg6Sn2Ir, with properties calculated at the PBE level.

a b c (Å): 4.666 6.805 13.832
angles (deg): 90.00 90.00 90.00
Space group Immm (No. 71)
Asymmetric unit:
Mg1 0.000 0.212 0.000 (multiplicity 4)
Mg2 0.000 0.265 0.348 (multiplicity 8)
Sn1 0.000 0.500 0.166 (multiplicity 4)
Ir1 0.000 0.500 0.500 (multiplicity 2)

- crystal system = orthorhombic
- calculated formation energy (eV per atom) = -0.16
- M_tot (μB per cell) = 0.0

7.
Below is a relaxed structure of Mg2SnIr, with properties calculated at the PBE level.

a b c (Å): 4.162 4.162 4.156
angles (deg): 90.00 90.00 90.00
Space group P4/mmm (No. 123)
Asymmetric unit:
Mg1 0.000 0.500 0.000 (multiplicity 2)
Sn1 0.000 0.000 0.500 (multiplicity 1)
Ir1 0.500 0.500 0.500 (multiplicity 1)

- crystal system = tetragonal
- calculated formation energy (eV per atom) = -0.23
- M_tot (μB per cell) = 0.0

8.
Below is a relaxed structure of Mg8SnIr2, with properties calculated at the PBE level.

a b c (Å): 4.461 7.041 13.628
angles (deg): 90.00 90.00 90.00
Space group Immm (No. 71)
Asymmetric unit:
Mg1 0.000 0.000 0.165 (multiplicity 4)
Mg2 0.000 0.217 0.337 (multiplicity 8)
Mg3 0.000 0.308 0.000 (multiplicity 4)
Sn1 0.000 0.500 0.500 (multiplicity 2)
Ir1 0.000 0.500 0.184 (multiplicity 4)

- crystal system = orthorhombic
- calculated formation energy (eV per atom) = -0.26
- M_tot (μB per cell) = 0.0